(1)
The following is a PBE calculation of a relaxed SrMgSi2Pd crystal, from Alexandria via LeMat-Bulk.

Formation energy (no corrections) = -0.549 eV per atom

Cell: 4.2804 4.2804 10.9183 Å, 90.00 90.00 90.00°
With the nearest neighbours (Å) after each atom.
Space group I-4m2 (No. 119)
Asymmetric unit:
Sr  0.0000  0.0000  0.0000 [2 per cell]  8 Si 3.25, 4 Pd 3.47, 4 Mg 3.47
Mg  0.0000  0.5000  0.2500 [2 per cell]  4 Si 2.64
Si  0.0000  0.0000  0.3912 [4 per cell]  1 Si 2.38, 2 Mg 2.64, 2 Pd 2.64
Pd  0.0000  0.5000  0.7500 [2 per cell]  4 Si 2.64

=====

(2)
The following is a PBE calculation of a relaxed Sr2MgSiPd6 crystal, from Alexandria via LeMat-Bulk.

Formation energy (no corrections) = -0.582 eV per atom

Cell: 5.7665 6.5282 7.0244 Å, 74.09 65.94 63.84°
With the nearest neighbours (Å) after each atom.
Space group P-1 (No. 2)
Asymmetric unit:
Sr  0.2397  0.2248  0.2966 [2 per cell]  9 Pd 3.15-3.49
Mg  0.5000  0.5000  0.5000 [1 per cell]  6 Pd 2.65-2.67
Si  0.0000  0.0000  0.0000 [1 per cell]  6 Pd 2.36-2.44
Pd  0.2447  0.2377  0.7862 [2 per cell]  1 Si 2.36
Pd  0.2471  0.6138  0.8909 [2 per cell]  1 Si 2.44, 1 Mg 2.67
Pd  0.2703  0.7625  0.2133 [2 per cell]  1 Si 2.36

=====

(3)
The following is a PBE calculation of a relaxed TbMgSiPd crystal, from Alexandria via LeMat-Bulk.

Formation energy (no corrections) = -0.582 eV per atom

Cell: 6.7616 6.7616 6.7616 Å, 90.00 90.00 90.00°
With the nearest neighbours (Å) after each atom.
Space group F-43m (No. 216)
Asymmetric unit:
Tb  0.0000  0.0000  0.0000 [4 per cell]  4 Pd 2.93, 4 Si 2.93
Mg  0.0000  0.0000  0.5000 [4 per cell]  4 Pd 2.93, 4 Si 2.93
Si  0.2500  0.2500  0.7500 [4 per cell]  4 Tb 2.93, 4 Mg 2.93
Pd  0.2500  0.2500  0.2500 [4 per cell]  4 Tb 2.93, 4 Mg 2.93